[1]
Entry from the Alexandria database: ThSc4Ga5 after structural relaxation (PBE-GGA).

Results
Energy of formation (eV per atom): -0.557

Geometry as CIF:
```
data_ThSc4Ga5
_space_group_name_H-M_alt 'P 4/m m m'
_space_group_IT_number 123
_space_group_name_Hall '-P 4 2'
_cell_length_a 3.387
_cell_length_b 3.387
_cell_length_c 17.555
_cell_angle_alpha 90.00
_cell_angle_beta 90.00
_cell_angle_gamma 90.00
loop_
_atom_site_label
_atom_site_type_symbol
_atom_site_fract_x
_atom_site_fract_y
_atom_site_fract_z
Th1 Th 0.000 0.000 0.000
Sc1 Sc 0.000 0.000 0.215
Sc2 Sc 0.000 0.000 0.405
Ga1 Ga 0.500 0.500 0.121
Ga2 Ga 0.500 0.500 0.311
Ga3 Ga 0.500 0.500 0.500
```

[2]
Entry from the Alexandria database: ThScGa3 after structural relaxation (PBE-GGA).

Results
Energy of formation (eV per atom): -0.440
ΔE to the lowest computed polymorph (meV/atom): 169

Geometry as CIF:
```
data_ThScGa3
_space_group_name_H-M_alt 'P 1 21/m 1'
_space_group_IT_number 11
_space_group_name_Hall '-P 2yb'
_cell_length_a 5.218
_cell_length_b 6.107
_cell_length_c 7.013
_cell_angle_alpha 90.00
_cell_angle_beta 98.06
_cell_angle_gamma 90.00
loop_
_atom_site_label
_atom_site_type_symbol
_atom_site_fract_x
_atom_site_fract_y
_atom_site_fract_z
Th1 Th 0.194 0.250 0.155
Sc1 Sc 0.208 0.750 0.420
Ga1 Ga 0.282 0.033 0.733
Ga2 Ga 0.331 0.750 0.059
```

[3]
Entry from the Alexandria database: ThSc4Ga4 after structural relaxation (PBE-GGA).

Results
Energy of formation (eV per atom): -0.267

Geometry as CIF:
```
data_ThSc4Ga4
_space_group_name_H-M_alt 'P 42/n'
_space_group_IT_number 86
_cell_length_a 8.950
_cell_length_b 8.950
_cell_length_c 5.501
_cell_angle_alpha 90.00
_cell_angle_beta 90.00
_cell_angle_gamma 90.00
loop_
_space_group_symop_operation_xyz
'x,y,z'
'-x,-y,-z'
'-y,x+1/2,z+1/2'
'y,-x+1/2,-z+1/2'
'-x+1/2,-y+1/2,z'
'x+1/2,y+1/2,-z'
'y+1/2,-x,z+1/2'
'-y+1/2,x,-z+1/2'
loop_
_atom_site_label
_atom_site_type_symbol
_atom_site_fract_x
_atom_site_fract_y
_atom_site_fract_z
Th1 Th 0.250 0.250 0.250
Sc1 Sc 0.094 0.644 0.136
Ga1 Ga 0.047 0.602 0.641
```

[4]
Entry from the Alexandria database: Th2ScGa after structural relaxation (PBE-GGA).

Results
Energy of formation (eV per atom): -0.139
ΔE to the lowest computed polymorph (meV/atom): 63

Geometry as CIF:
```
data_Th2ScGa
_space_group_name_H-M_alt 'P 4/m m m'
_space_group_IT_number 123
_space_group_name_Hall '-P 4 2'
_cell_length_a 3.959
_cell_length_b 3.959
_cell_length_c 6.893
_cell_angle_alpha 90.00
_cell_angle_beta 90.00
_cell_angle_gamma 90.00
loop_
_atom_site_label
_atom_site_type_symbol
_atom_site_fract_x
_atom_site_fract_y
_atom_site_fract_z
Th1 Th 0.000 0.000 0.226
Sc1 Sc 0.500 0.500 0.500
Ga1 Ga 0.500 0.500 0.000
```

[5]
Entry from the Alexandria database: Th3Sc2Ga4 after structural relaxation (PBE-GGA).

Results
Energy of formation (eV per atom): -0.428

Geometry as CIF:
```
data_Th3Sc2Ga4
_space_group_name_H-M_alt 'C 1 2/m 1'
_space_group_IT_number 12
_space_group_name_Hall '-C 2y'
_cell_length_a 11.291
_cell_length_b 4.287
_cell_length_c 9.317
_cell_angle_alpha 90.00
_cell_angle_beta 96.32
_cell_angle_gamma 90.00
loop_
_atom_site_label
_atom_site_type_symbol
_atom_site_fract_x
_atom_site_fract_y
_atom_site_fract_z
Th1 Th 0.000 0.000 0.000
Th2 Th 0.132 0.500 0.390
Sc1 Sc 0.175 0.500 0.774
Ga1 Ga 0.073 0.000 0.626
Ga2 Ga 0.202 0.500 0.074
```

[6]
Entry from the Alexandria database: ThScGa2 after structural relaxation (PBE-GGA).

Results
Energy of formation (eV per atom): -0.548
ΔE to the lowest computed polymorph (meV/atom): 0

Geometry as CIF:
```
data_ThScGa2
_space_group_name_H-M_alt 'P n m a'
_space_group_IT_number 62
_space_group_name_Hall '-P 2ac 2n'
_cell_length_a 8.178
_cell_length_b 4.105
_cell_length_c 11.030
_cell_angle_alpha 90.00
_cell_angle_beta 90.00
_cell_angle_gamma 90.00
loop_
_atom_site_label
_atom_site_type_symbol
_atom_site_fract_x
_atom_site_fract_y
_atom_site_fract_z
Th1 Th 0.143 0.250 0.142
Sc1 Sc 0.016 0.750 0.392
Ga1 Ga 0.147 0.250 0.824
Ga2 Ga 0.249 0.750 0.944
```

[7]
Entry from the Alexandria database: ThScGa after structural relaxation (PBE-GGA).

Results
Energy of formation (eV per atom): -0.404
ΔE to the lowest computed polymorph (meV/atom): 16

Geometry as CIF:
```
data_ThScGa
_space_group_name_H-M_alt 'P 1 21/m 1'
_space_group_IT_number 11
_space_group_name_Hall '-P 2yb'
_cell_length_a 7.825
_cell_length_b 4.293
_cell_length_c 13.310
_cell_angle_alpha 90.00
_cell_angle_beta 90.31
_cell_angle_gamma 90.00
loop_
_atom_site_label
_atom_site_type_symbol
_atom_site_fract_x
_atom_site_fract_y
_atom_site_fract_z
Th1 Th 0.025 0.250 0.216
Th2 Th 0.363 0.750 0.581
Th3 Th 0.474 0.750 0.889
Sc1 Sc 0.015 0.250 0.591
Sc2 Sc 0.144 0.250 0.957
Sc3 Sc 0.358 0.750 0.295
Ga1 Ga 0.227 0.750 0.087
Ga2 Ga 0.234 0.250 0.419
Ga3 Ga 0.276 0.250 0.753
```

[8]
Entry from the Alexandria database: ThScGa after structural relaxation (PBE-GGA).

Results
Energy of formation (eV per atom): -0.243
ΔE to the lowest computed polymorph (meV/atom): 177

Geometry as CIF:
```
data_ThScGa
_space_group_name_H-M_alt 'P -6 m 2'
_space_group_IT_number 187
_space_group_name_Hall 'P -6 2'
_cell_length_a 4.6727
_cell_length_b 4.6727
_cell_length_c 4.0740
_cell_angle_alpha 90.00
_cell_angle_beta 90.00
_cell_angle_gamma 120.00
loop_
_atom_site_label
_atom_site_type_symbol
_atom_site_fract_x
_atom_site_fract_y
_atom_site_fract_z
Th1 Th 0.0000 0.0000 0.0000
Sc1 Sc 0.6667 0.3333 0.5000
Ga1 Ga 0.3333 0.6667 0.5000
```

[9]
Entry from the Alexandria database: ThScGa after structural relaxation (PBE-GGA).

Results
Energy of formation (eV per atom): -0.390
ΔE to the lowest computed polymorph (meV/atom): 31

Geometry as CIF:
```
data_ThScGa
_space_group_name_H-M_alt 'P 4/n m m'
_space_group_IT_number 129
_cell_length_a 4.335
_cell_length_b 4.335
_cell_length_c 7.946
_cell_angle_alpha 90.00
_cell_angle_beta 90.00
_cell_angle_gamma 90.00
loop_
_space_group_symop_operation_xyz
'x,y,z'
'-x,-y,-z'
'-y+1/2,x,z'
'y+1/2,-x,-z'
'-x+1/2,-y+1/2,z'
'x+1/2,y+1/2,-z'
'y,-x+1/2,z'
'-y,x+1/2,-z'
'x+1/2,-y,-z'
'-x+1/2,y,z'
'-y,-x,-z'
'y,x,z'
'-x,y+1/2,-z'
'x,-y+1/2,z'
'y+1/2,x+1/2,-z'
'-y+1/2,-x+1/2,z'
loop_
_atom_site_label
_atom_site_type_symbol
_atom_site_fract_x
_atom_site_fract_y
_atom_site_fract_z
Th1 Th 0.250 0.250 0.142
Sc1 Sc 0.250 0.750 0.500
Ga1 Ga 0.250 0.250 0.744
```

[10]
Entry from the Alexandria database: ThScGa4 after structural relaxation (PBE-GGA).

Results
Energy of formation (eV per atom): -0.456
ΔE to the lowest computed polymorph (meV/atom): 0

Geometry as CIF:
```
data_ThScGa4
_space_group_name_H-M_alt 'P b a m'
_space_group_IT_number 55
_space_group_name_Hall '-P 2 2ab'
_cell_length_a 8.299
_cell_length_b 16.116
_cell_length_c 3.704
_cell_angle_alpha 90.00
_cell_angle_beta 90.00
_cell_angle_gamma 90.00
loop_
_atom_site_label
_atom_site_type_symbol
_atom_site_fract_x
_atom_site_fract_y
_atom_site_fract_z
Th1 Th 0.122 0.152 0.000
Sc1 Sc 0.127 0.415 0.000
Ga1 Ga 0.025 0.696 0.500
Ga2 Ga 0.123 0.960 0.500
Ga3 Ga 0.128 0.550 0.500
Ga4 Ga 0.215 0.808 0.500
```

[11]
Entry from the Alexandria database: ThSc2Ga after structural relaxation (PBE-GGA).

Results
Energy of formation (eV per atom): -0.306
ΔE to the lowest computed polymorph (meV/atom): 0

Geometry as CIF:
```
data_ThSc2Ga
_space_group_name_H-M_alt 'P 4/m m m'
_space_group_IT_number 123
_space_group_name_Hall '-P 4 2'
_cell_length_a 3.396
_cell_length_b 3.396
_cell_length_c 8.122
_cell_angle_alpha 90.00
_cell_angle_beta 90.00
_cell_angle_gamma 90.00
loop_
_atom_site_label
_atom_site_type_symbol
_atom_site_fract_x
_atom_site_fract_y
_atom_site_fract_z
Th1 Th 0.000 0.000 0.000
Sc1 Sc 0.500 0.500 0.292
Ga1 Ga 0.000 0.000 0.500
```

[12]
Entry from the Alexandria database: ThScGa2 after structural relaxation (PBE-GGA).

Results
Energy of formation (eV per atom): -0.505
ΔE to the lowest computed polymorph (meV/atom): 43

Geometry as CIF:
```
data_ThScGa2
_space_group_name_H-M_alt 'P 4/m m m'
_space_group_IT_number 123
_space_group_name_Hall '-P 4 2'
_cell_length_a 3.514
_cell_length_b 3.514
_cell_length_c 7.117
_cell_angle_alpha 90.00
_cell_angle_beta 90.00
_cell_angle_gamma 90.00
loop_
_atom_site_label
_atom_site_type_symbol
_atom_site_fract_x
_atom_site_fract_y
_atom_site_fract_z
Th1 Th 0.000 0.000 0.000
Sc1 Sc 0.000 0.000 0.500
Ga1 Ga 0.500 0.500 0.287
```